The following is a DFT calculation (PBE) of a relaxed structure of La2SmEr.

abc: 5.8283 5.8283 5.8283
angles: 60.00 60.00 60.00
Last column: nearest neighbours and their distance in Å.
Positions (direct):
La 0.2500 0.2500 0.2500  4 Er 3.57, 4 Sm 3.57
La 0.7500 0.7500 0.7500  4 Er 3.57, 4 Sm 3.57
Sm 0.0000 0.0000 0.0000  8 La 3.57
Er 0.5000 0.5000 0.5000  8 La 3.57

Properties
* formation energy from the elements: 0.096 eV per atom
* V: 140.0 Å³/cell
* energy above the most stable polymorph in this dataset: 0.083 eV per atom